# Li2Ge2O, PBEsol geometry, DFT SCAN
# E_form (uncorrected) ... 1.0 eV/f.u.
# Uncorrected energy ... -96.3 eV for the cell shown
data_Li2Ge2O
_symmetry_space_group_name_H-M 'I 4/m m m'
_symmetry_Int_Tables_number 139
_symmetry_space_group_name_Hall '-I 4 2'
_cell_length_a 3.2975
_cell_length_b 3.2975
_cell_length_c 12.8284
_cell_angle_alpha 90.00
_cell_angle_beta 90.00
_cell_angle_gamma 90.00
loop_
_atom_site_label
_atom_site_type_symbol
_atom_site_fract_x
_atom_site_fract_y
_atom_site_fract_z
Li1 Li 0.0000 0.5000 0.2500
Ge1 Ge 0.0000 0.0000 0.0895
O1 O 0.0000 0.0000 0.5000

# Sc2GaHgGe, PBEsol geometry, DFT SCAN
# Calculated formation energy ... 133.1 meV per atom
# Uncorrected energy ... -131.4 eV for the cell shown
data_Sc2GaHgGe
_symmetry_space_group_name_H-M 'P 4/m m m'
_symmetry_Int_Tables_number 123
_symmetry_space_group_name_Hall '-P 4 2'
_cell_length_a 5.0151
_cell_length_b 5.0151
_cell_length_c 4.7613
_cell_angle_alpha 90.00
_cell_angle_beta 90.00
_cell_angle_gamma 90.00
loop_
_atom_site_label
_atom_site_type_symbol
_atom_site_fract_x
_atom_site_fract_y
_atom_site_fract_z
Sc1 Sc 0.0000 0.5000 0.0000
Ga1 Ga 0.0000 0.0000 0.0000
Hg1 Hg 0.0000 0.0000 0.5000
Ge1 Ge 0.5000 0.5000 0.5000

# BeAlPt, PBEsol geometry, DFT SCAN
# Calculated formation energy ... -856.7 meV per atom
# Uncorrected energy ... -169.7 eV for the cell shown
data_BeAlPt
_symmetry_space_group_name_H-M 'I 4 m m'
_symmetry_Int_Tables_number 107
_symmetry_space_group_name_Hall 'I 4 -2'
_cell_length_a 3.0837
_cell_length_b 3.0837
_cell_length_c 7.8911
_cell_angle_alpha 90.00
_cell_angle_beta 90.00
_cell_angle_gamma 90.00
loop_
_atom_site_label
_atom_site_type_symbol
_atom_site_fract_x
_atom_site_fract_y
_atom_site_fract_z
Be1 Be 0.0000 0.0000 0.0000
Al1 Al 0.0000 0.0000 0.6712
Pt1 Pt 0.0000 0.0000 0.3494

# Ce2Ta3Se2O8, PBEsol geometry, DFT SCAN
# E_form (uncorrected) ... -44.3 eV/f.u.
# Uncorrected energy ... -1692.8 eV for the cell shown
data_Ce2Ta3Se2O8
_symmetry_space_group_name_H-M 'P n n m'
_symmetry_Int_Tables_number 58
_cell_length_a 9.8917
_cell_length_b 11.7041
_cell_length_c 7.6030
_cell_angle_alpha 90.00
_cell_angle_beta 90.00
_cell_angle_gamma 90.00
loop_
_symmetry_equiv_pos_as_xyz
'x,y,z'
'-x,-y,-z'
'-x,-y,z'
'x,y,-z'
'x+1/2,-y+1/2,-z+1/2'
'-x+1/2,y+1/2,z+1/2'
'-x+1/2,y+1/2,-z+1/2'
'x+1/2,-y+1/2,z+1/2'
loop_
_atom_site_label
_atom_site_type_symbol
_atom_site_fract_x
_atom_site_fract_y
_atom_site_fract_z
Ce1 Ce 0.2139 0.1546 0.0000
Ce2 Ce 0.2295 0.1474 0.5000
Ta1 Ta 0.0000 0.5000 0.2869
Ta2 Ta 0.1347 0.9158 0.2497
Se1 Se 0.0201 0.3333 0.5000
Se2 Se 0.0244 0.3599 0.0000
O1 O 0.0591 0.1024 0.2537
O2 O 0.1345 0.9485 0.0000
O3 O 0.1476 0.9492 0.5000
O4 O 0.1984 0.5241 0.2623
O5 O 0.2143 0.7721 0.2470